A geometry-optimized ZrAs2Se structure, computed with PBE-GGA.

Results
The value obtained for the density of states at the Fermi level is 2.133 states/eV/cell.

Lattice parameters (Å, degrees): 3.4236 3.4236 7.6112 90.00 90.00 90.00
Closest atoms and distances in Å follow each position.
Space group P4mm (No. 99)
Inequivalent atoms, fractional coordinates:
Zr (0.0000, 0.0000, 0.0000)  4 Se 2.83, 5 As 2.93-2.97
As (0.0000, 0.0000, 0.3847)  4 As 2.71, 1 Zr 2.93
As (0.5000, 0.5000, 0.2252)  4 As 2.71, 4 Zr 2.97
Se (0.5000, 0.5000, 0.8077)  4 Zr 2.83



A geometry-optimized Li2FeAuBr structure, computed with PBE-GGA.

Results
The value obtained for the density of states at the Fermi level is 2.114 states/eV/cell.

Lattice parameters (Å, degrees): 5.2171 5.2171 4.8152 90.00 90.00 90.00
Closest atoms and distances in Å follow each position.
Space group P4/mmm (No. 123)
Inequivalent atoms, fractional coordinates:
Li (0.0000, 0.5000, 0.0000)  2 Fe 2.61
Fe (0.0000, 0.0000, 0.0000)  2 Au 2.41, 4 Li 2.61
Au (0.0000, 0.0000, 0.5000)  2 Fe 2.41
Br (0.5000, 0.5000, 0.5000)  8 Li 3.55, 4 Au 3.69



A geometry-optimized Lu3ZnH structure, computed with PBE-GGA.

Results
The value obtained for the density of states at the Fermi level is 6.483 states/eV/cell.

Lattice parameters (Å, degrees): 4.6571 4.6571 4.6571 90.00 90.00 90.00
Closest atoms and distances in Å follow each position.
Space group Pm-3m (No. 221)
Inequivalent atoms, fractional coordinates:
Lu (0.0000, 0.0000, 0.5000)  2 H 2.33
Zn (0.5000, 0.5000, 0.5000)  12 Lu 3.29
H (0.0000, 0.0000, 0.0000)  6 Lu 2.33



A geometry-optimized Pr2BeO5 structure, computed with PBE-GGA.

Results
The value obtained for the density of states at the Fermi level is 4.953 states/eV/cell.

Lattice parameters (Å, degrees): 5.4352 5.4352 6.8044 90.00 90.00 90.00
Closest atoms and distances in Å follow each position.
Space group I4mm (No. 107)
Inequivalent atoms, fractional coordinates:
Pr (0.0000, 0.5000, 0.0000)  10 O 2.47-2.72
Be (0.0000, 0.0000, 0.2296)  5 O 1.60-1.77
O (0.0000, 0.0000, 0.9943)  1 Be 1.60
O (0.2274, 0.2274, 0.2737)  1 Be 1.77



A geometry-optimized Li2ZnHgBr6 structure, computed with PBE-GGA.

Results
The value obtained for the density of states at the Fermi level is 0.000 states/eV/cell.

Lattice parameters (Å, degrees): 6.9697 6.9709 7.7688 63.36 63.35 60.01
Closest atoms and distances in Å follow each position.
Space group P1 (No. 1)
Inequivalent atoms, fractional coordinates:
Li (0.0000, 0.0000, 0.0000)  6 Br 2.77-2.83
Li (0.4977, 0.4980, 0.5066)  6 Br 2.77-2.82
Zn (0.7487, 0.7495, 0.7524)  3 Br 2.37
Hg (0.2490, 0.2488, 0.2535)  3 Br 2.59
Br (0.0892, 0.7495, 0.7528)  1 Zn 2.37
Br (0.2494, 0.6206, 0.2528)  1 Hg 2.59, 2 Li 2.77
Br (0.4080, 0.0900, 0.7530)  1 Zn 2.37
Br (0.6206, 0.8775, 0.2534)  1 Hg 2.59, 2 Li 2.77
Br (0.7488, 0.4086, 0.7529)  1 Zn 2.37
Br (0.8775, 0.2492, 0.2530)  1 Hg 2.59, 2 Li 2.77



A geometry-optimized BMo2I structure, computed with PBE-GGA.

Results
The value obtained for the density of states at the Fermi level is 11.648 states/eV/cell.

Lattice parameters (Å, degrees): 6.2131 6.2131 6.2131 90.00 90.00 90.00
Closest atoms and distances in Å follow each position.
Space group Fm-3m (No. 225)
Inequivalent atoms, fractional coordinates:
B (0.0000, 0.0000, 0.0000)  8 Mo 2.69
Mo (0.2500, 0.2500, 0.2500)  4 B 2.69, 4 I 2.69
I (0.0000, 0.0000, 0.5000)  8 Mo 2.69



A geometry-optimized AcBiHAu structure, computed with PBE-GGA.

Results
The value obtained for the density of states at the Fermi level is 4.381 states/eV/cell.

Lattice parameters (Å, degrees): 7.2250 7.2250 7.2250 90.00 90.00 90.00
Closest atoms and distances in Å follow each position.
Space group F-43m (No. 216)
Inequivalent atoms, fractional coordinates:
Ac (0.0000, 0.0000, 0.0000)  4 H 3.13, 4 Au 3.13
Bi (0.0000, 0.0000, 0.5000)  4 H 3.13, 4 Au 3.13
H (0.2500, 0.2500, 0.2500)  4 Ac 3.13, 4 Bi 3.13
Au (0.2500, 0.2500, 0.7500)  4 Ac 3.13, 4 Bi 3.13



A geometry-optimized Dy2CCl2 structure, computed with PBE-GGA.

Lattice parameters (Å, degrees): 6.4392 3.7138 10.3244 90.00 96.81 90.00
Closest atoms and distances in Å follow each position.
Space group C2/m (No. 12)
Inequivalent atoms, fractional coordinates:
Dy (0.1918, 0.0000, 0.1317)  3 C 2.53, 3 Cl 2.77
C (0.0000, 0.5000, 0.0000)  6 Dy 2.53
Cl (0.1091, 0.0000, 0.6979)  3 Dy 2.77



| no. | electronic total energy (eV per atom) |
| --- | --- |
| 1 | -5.87 |
| 2 | -3.17 |
| 3 | -3.78 |
| 4 | -7.08 |
| 5 | -2.50 |
| 6 | -6.39 |
| 7 | -4.09 |
| 8 | -5.95 |